No. 1
# PBE Nb2B2W, optimized geometry
# - total moment (μB per formula unit) = 0.000
# - crystal system = orthorhombic
data_Nb2B2W
_chemical_formula_sum 'Nb8 B8 W4'
_space_group_name_H-M_alt 'C m c m'
_space_group_IT_number 63
_space_group_name_Hall '-C 2c 2'
_cell_length_a 4.762
_cell_length_b 12.673
_cell_length_c 4.611
_cell_angle_alpha 90.00
_cell_angle_beta 90.00
_cell_angle_gamma 90.00
loop_
_atom_site_label
_atom_site_fract_x
_atom_site_fract_y
_atom_site_fract_z
_atom_site_occupancy
Nb1 0.000 0.100 0.250 1
Nb2 0.000 0.281 0.750 1
B1 0.199 0.357 0.250 1
W1 0.000 0.500 0.000 1

=====

No. 2
# PBE Nb4B2W, optimized geometry
# - total moment (μB per formula unit) = 0.000
# - crystal system = trigonal
data_Nb4B2W
_chemical_formula_sum 'Nb12 B6 W3'
_space_group_name_H-M_alt 'R -3 m'
_space_group_IT_number 166
_space_group_name_Hall '-R 3 2"'
_cell_length_a 4.2996
_cell_length_b 4.2996
_cell_length_c 20.3086
_cell_angle_alpha 90.00
_cell_angle_beta 90.00
_cell_angle_gamma 120.00
loop_
_atom_site_label
_atom_site_fract_x
_atom_site_fract_y
_atom_site_fract_z
_atom_site_occupancy
Nb1 0.0000 0.0000 0.1118 1
Nb2 0.0000 0.0000 0.2828 1
B1 0.0000 0.0000 0.3936 1
W1 0.0000 0.0000 0.5000 1

=====

No. 3
# PBE NbB3W, optimized geometry
# - total moment (μB per formula unit) = 0.000
# - crystal system = cubic
# - offset from the most stable computed form (meV/atom) = 1508
data_NbB3W
_chemical_formula_sum 'Nb1 B3 W1'
_space_group_name_H-M_alt 'P m -3 m'
_space_group_IT_number 221
_space_group_name_Hall '-P 4 2 3'
_cell_length_a 4.054
_cell_length_b 4.054
_cell_length_c 4.054
_cell_angle_alpha 90.00
_cell_angle_beta 90.00
_cell_angle_gamma 90.00
loop_
_atom_site_label
_atom_site_fract_x
_atom_site_fract_y
_atom_site_fract_z
_atom_site_occupancy
Nb1 0.000 0.000 0.000 1
B1 0.000 0.500 0.500 1
W1 0.500 0.500 0.500 1

=====

No. 4
# PBE NbB2W, optimized geometry
# - total moment (μB per formula unit) = 0.000
# - crystal system = orthorhombic
# - offset from the most stable computed form (meV/atom) = 11
data_NbB2W
_chemical_formula_sum 'Nb2 B4 W2'
_space_group_name_H-M_alt 'P m c 21'
_space_group_IT_number 26
_space_group_name_Hall 'P 2c -2'
_cell_length_a 3.138
_cell_length_b 4.643
_cell_length_c 6.059
_cell_angle_alpha 90.00
_cell_angle_beta 90.00
_cell_angle_gamma 90.00
loop_
_atom_site_label
_atom_site_fract_x
_atom_site_fract_y
_atom_site_fract_z
_atom_site_occupancy
Nb1 0.000 0.129 0.000 1
B1 0.000 0.357 0.640 1
B2 0.500 0.158 0.706 1
W1 0.500 0.370 0.351 1

=====

No. 5
# PBE NbB4W3, optimized geometry
# - total moment (μB per formula unit) = 0.000
# - crystal system = monoclinic
data_NbB4W3
_chemical_formula_sum 'Nb2 B8 W6'
_space_group_name_H-M_alt 'C 1 2/m 1'
_space_group_IT_number 12
_space_group_name_Hall '-C 2y'
_cell_length_a 13.317
_cell_length_b 3.069
_cell_length_c 4.831
_cell_angle_alpha 90.00
_cell_angle_beta 111.19
_cell_angle_gamma 90.00
loop_
_atom_site_label
_atom_site_fract_x
_atom_site_fract_y
_atom_site_fract_z
_atom_site_occupancy
Nb1 0.000 0.000 0.000 1
B1 0.136 0.000 0.462 1
B2 0.136 0.000 0.809 1
W1 0.000 0.500 0.500 1
W2 0.194 0.500 0.193 1

=====

No. 6
# PBE NbB2W2, optimized geometry
# - total moment (μB per formula unit) = 0.000
# - crystal system = tetragonal
data_NbB2W2
_chemical_formula_sum 'Nb2 B4 W4'
_space_group_name_H-M_alt 'P 4/m b m'
_space_group_IT_number 127
_space_group_name_Hall '-P 4 2ab'
_cell_length_a 6.147
_cell_length_b 6.147
_cell_length_c 3.195
_cell_angle_alpha 90.00
_cell_angle_beta 90.00
_cell_angle_gamma 90.00
loop_
_atom_site_label
_atom_site_fract_x
_atom_site_fract_y
_atom_site_fract_z
_atom_site_occupancy
Nb1 0.000 0.000 0.000 1
B1 0.111 0.389 0.000 1
W1 0.170 0.670 0.500 1

=====

No. 7
# PBE NbBW3, optimized geometry
# - total moment (μB per formula unit) = 0.000
# - crystal system = cubic
# - offset from the most stable computed form (meV/atom) = 0
data_NbBW3
_chemical_formula_sum 'Nb1 B1 W3'
_space_group_name_H-M_alt 'P m -3 m'
_space_group_IT_number 221
_space_group_name_Hall '-P 4 2 3'
_cell_length_a 4.249
_cell_length_b 4.249
_cell_length_c 4.249
_cell_angle_alpha 90.00
_cell_angle_beta 90.00
_cell_angle_gamma 90.00
loop_
_atom_site_label
_atom_site_fract_x
_atom_site_fract_y
_atom_site_fract_z
_atom_site_occupancy
Nb1 0.000 0.000 0.000 1
B1 0.500 0.500 0.500 1
W1 0.000 0.500 0.500 1

=====

No. 8
# PBE NbB3W, optimized geometry
# - total moment (μB per formula unit) = 0.000
# - crystal system = cubic
# - offset from the most stable computed form (meV/atom) = 2215
data_NbB3W
_chemical_formula_sum 'Nb1 B3 W1'
_space_group_name_H-M_alt 'P m -3 m'
_space_group_IT_number 221
_space_group_name_Hall '-P 4 2 3'
_cell_length_a 4.037
_cell_length_b 4.037
_cell_length_c 4.037
_cell_angle_alpha 90.00
_cell_angle_beta 90.00
_cell_angle_gamma 90.00
loop_
_atom_site_label
_atom_site_fract_x
_atom_site_fract_y
_atom_site_fract_z
_atom_site_occupancy
Nb1 0.000 0.000 0.000 1
B1 0.000 0.000 0.500 1
W1 0.500 0.500 0.500 1

=====

No. 9
# PBE NbB2W, optimized geometry
# - total moment (μB per formula unit) = 0.000
# - crystal system = orthorhombic
# - offset from the most stable computed form (meV/atom) = 0
data_NbB2W
_chemical_formula_sum 'Nb2 B4 W2'
_space_group_name_H-M_alt 'A m m 2'
_space_group_IT_number 38
_space_group_name_Hall 'A 2 -2'
_cell_length_a 3.141
_cell_length_b 3.254
_cell_length_c 8.618
_cell_angle_alpha 90.00
_cell_angle_beta 90.00
_cell_angle_gamma 90.00
loop_
_atom_site_label
_atom_site_fract_x
_atom_site_fract_y
_atom_site_fract_z
_atom_site_occupancy
Nb1 0.000 0.000 0.000 1
B1 0.000 0.000 0.708 1
B2 0.500 0.000 0.588 1
W1 0.500 0.000 0.290 1

=====

No. 10
# PBE NbB4W2, optimized geometry
# - total moment (μB per formula unit) = 0.000
# - crystal system = orthorhombic
data_NbB4W2
_chemical_formula_sum 'Nb2 B8 W4'
_space_group_name_H-M_alt 'I m m m'
_space_group_IT_number 71
_space_group_name_Hall '-I 2 2'
_cell_length_a 3.111
_cell_length_b 3.236
_cell_length_c 13.942
_cell_angle_alpha 90.00
_cell_angle_beta 90.00
_cell_angle_gamma 90.00
loop_
_atom_site_label
_atom_site_fract_x
_atom_site_fract_y
_atom_site_fract_z
_atom_site_occupancy
Nb1 0.000 0.000 0.000 1
B1 0.000 0.000 0.434 1
B2 0.000 0.500 0.136 1
W1 0.000 0.500 0.314 1

=====

No. 11
# PBE NbZnB2W, optimized geometry
# - total moment (μB per formula unit) = 0.000
# - crystal system = tetragonal
data_NbZnB2W
_chemical_formula_sum 'Nb1 Zn1 B2 W1'
_space_group_name_H-M_alt 'P 4/m m m'
_space_group_IT_number 123
_space_group_name_Hall '-P 4 2'
_cell_length_a 4.056
_cell_length_b 4.056
_cell_length_c 4.731
_cell_angle_alpha 90.00
_cell_angle_beta 90.00
_cell_angle_gamma 90.00
loop_
_atom_site_label
_atom_site_fract_x
_atom_site_fract_y
_atom_site_fract_z
_atom_site_occupancy
Nb1 0.000 0.000 0.000 1
Zn1 0.500 0.500 0.000 1
B1 0.000 0.500 0.500 1
W1 0.500 0.500 0.500 1

=====

No. 12
# PBE YNbB3, optimized geometry
# - total moment (μB per formula unit) = 0.000
# - crystal system = cubic
# - offset from the most stable computed form (meV/atom) = 0
data_YNbB3
_chemical_formula_sum 'Y1 Nb1 B3'
_space_group_name_H-M_alt 'P m -3 m'
_space_group_IT_number 221
_space_group_name_Hall '-P 4 2 3'
_cell_length_a 4.254
_cell_length_b 4.254
_cell_length_c 4.254
_cell_angle_alpha 90.00
_cell_angle_beta 90.00
_cell_angle_gamma 90.00
loop_
_atom_site_label
_atom_site_fract_x
_atom_site_fract_y
_atom_site_fract_z
_atom_site_occupancy
Y1 0.000 0.000 0.000 1
Nb1 0.500 0.500 0.500 1
B1 0.000 0.500 0.500 1

=====

Number 1: electronic total energy -9.07 eV per atom, ΔE_f 0.22 eV per atom. Number 2: electronic total energy -9.49 eV per atom, ΔE_f 0.03 eV per atom. Number 3: electronic total energy -7.51 eV per atom, ΔE_f 1.10 eV per atom. Number 4: electronic total energy -9.68 eV per atom, ΔE_f -0.58 eV per atom. Number 5: electronic total energy -9.64 eV per atom, ΔE_f -0.19 eV per atom. Number 6: electronic total energy -10.21 eV per atom, ΔE_f -0.34 eV per atom. Number 7: electronic total energy -10.91 eV per atom, ΔE_f 0.21 eV per atom. Number 8: electronic total energy -6.80 eV per atom, ΔE_f 1.81 eV per atom. Number 9: electronic total energy -9.69 eV per atom, ΔE_f -0.59 eV per atom. Number 10: electronic total energy -9.46 eV per atom, ΔE_f -0.51 eV per atom. Number 11: electronic total energy -6.30 eV per atom, ΔE_f 1.23 eV per atom. Number 12: electronic total energy -6.90 eV per atom, ΔE_f 0.41 eV per atom.